1.
# HfNbRh2 (PBE, relaxed)
data_HfNbRh2
_chemical_formula_sum 'Hf1 Nb1 Rh2'
_cell_length_a 3.037
_cell_length_b 3.037
_cell_length_c 7.278
_cell_angle_alpha 90.00
_cell_angle_beta 90.00
_cell_angle_gamma 90.00
_space_group_name_H-M_alt 'P 4/m m m'
_space_group_IT_number 123
_space_group_name_Hall '-P 4 2'
loop_
_atom_site_label
_atom_site_fract_x
_atom_site_fract_y
_atom_site_fract_z
Hf1 0.000 0.000 0.000
Nb1 0.000 0.000 0.500
Rh1 0.500 0.500 0.237
# Energy relative to the elements: -596 meV/atom

2.
# TbTm2Ir9 (PBE, relaxed)
data_TbTm2Ir9
_chemical_formula_sum 'Tb3 Tm6 Ir27'
_cell_length_a 5.2951
_cell_length_b 5.2951
_cell_length_c 26.2399
_cell_angle_alpha 90.00
_cell_angle_beta 90.00
_cell_angle_gamma 120.00
_space_group_name_H-M_alt 'R -3 m'
_space_group_IT_number 166
_space_group_name_Hall '-R 3 2"'
loop_
_atom_site_label
_atom_site_fract_x
_atom_site_fract_y
_atom_site_fract_z
Tb1 0.0000 0.0000 0.0000
Tm1 0.0000 0.0000 0.1394
Ir1 0.0000 0.0000 0.3331
Ir2 0.0000 0.0000 0.5000
Ir3 0.9998 0.4999 0.0827
# Energy relative to the elements: -598 meV/atom

3.
# KLa3Ni (PBE, relaxed)
data_KLa3Ni
_chemical_formula_sum 'K1 La3 Ni1'
_cell_length_a 5.479
_cell_length_b 5.479
_cell_length_c 5.479
_cell_angle_alpha 90.00
_cell_angle_beta 90.00
_cell_angle_gamma 90.00
_space_group_name_H-M_alt 'P m -3 m'
_space_group_IT_number 221
_space_group_name_Hall '-P 4 2 3'
loop_
_atom_site_label
_atom_site_fract_x
_atom_site_fract_y
_atom_site_fract_z
K1 0.000 0.000 0.000
La1 0.000 0.000 0.500
Ni1 0.500 0.500 0.500
# Energy relative to the elements: 1420 meV/atom

4.
# Tm2ZnSnGe (PBE, relaxed)
data_Tm2ZnSnGe
_chemical_formula_sum 'Tm4 Zn2 Sn2 Ge2'
_cell_length_a 7.180
_cell_length_b 4.387
_cell_length_c 7.517
_cell_angle_alpha 90.00
_cell_angle_beta 90.10
_cell_angle_gamma 90.00
_space_group_name_H-M_alt 'P 1 21/m 1'
_space_group_IT_number 11
loop_
_space_group_symop_operation_xyz
'x,y,z'
'-x,-y,-z'
'-x,y+1/2,-z'
'x,-y+1/2,z'
loop_
_atom_site_label
_atom_site_fract_x
_atom_site_fract_y
_atom_site_fract_z
Tm1 0.007 0.250 0.219
Tm2 0.493 0.250 0.217
Zn1 0.254 0.750 0.407
Sn1 0.250 0.250 0.606
Ge1 0.249 0.750 0.078
# Energy relative to the elements: -597 meV/atom

5.
# CaReMo (PBE, relaxed)
data_CaReMo
_chemical_formula_sum 'Ca2 Re2 Mo2'
_cell_length_a 3.215
_cell_length_b 3.215
_cell_length_c 11.472
_cell_angle_alpha 90.00
_cell_angle_beta 90.00
_cell_angle_gamma 90.00
_space_group_name_H-M_alt 'I 4 m m'
_space_group_IT_number 107
_space_group_name_Hall 'I 4 -2'
loop_
_atom_site_label
_atom_site_fract_x
_atom_site_fract_y
_atom_site_fract_z
Ca1 0.000 0.000 0.000
Re1 0.000 0.000 0.690
Mo1 0.000 0.000 0.299
# Energy relative to the elements: 413 meV/atom

6.
# FeSnN3 (PBE, relaxed)
data_FeSnN3
_chemical_formula_sum 'Fe1 Sn1 N3'
_cell_length_a 4.084
_cell_length_b 4.084
_cell_length_c 4.084
_cell_angle_alpha 90.00
_cell_angle_beta 90.00
_cell_angle_gamma 90.00
_space_group_name_H-M_alt 'P m -3 m'
_space_group_IT_number 221
_space_group_name_Hall '-P 4 2 3'
loop_
_atom_site_label
_atom_site_fract_x
_atom_site_fract_y
_atom_site_fract_z
Fe1 0.000 0.000 0.000
Sn1 0.500 0.500 0.500
N1 0.000 0.500 0.500
# Raw formation energy: 1.95 eV per atom

7.
# Sc3CrOs (PBE, relaxed)
data_Sc3CrOs
_chemical_formula_sum 'Sc3 Cr1 Os1'
_cell_length_a 4.598
_cell_length_b 4.598
_cell_length_c 4.598
_cell_angle_alpha 90.00
_cell_angle_beta 90.00
_cell_angle_gamma 90.00
_space_group_name_H-M_alt 'P m -3 m'
_space_group_IT_number 221
_space_group_name_Hall '-P 4 2 3'
loop_
_atom_site_label
_atom_site_fract_x
_atom_site_fract_y
_atom_site_fract_z
Sc1 0.000 0.000 0.500
Cr1 0.000 0.000 0.000
Os1 0.500 0.500 0.500
# Energy relative to the elements: 839 meV/atom

8.
# LaDyMg2Hg2 (PBE, relaxed)
data_LaDyMg2Hg2
_chemical_formula_sum 'La1 Dy1 Mg2 Hg2'
_cell_length_a 5.0592
_cell_length_b 5.0592
_cell_length_c 6.8994
_cell_angle_alpha 90.00
_cell_angle_beta 90.00
_cell_angle_gamma 120.00
_space_group_name_H-M_alt 'P -3 m 1'
_space_group_IT_number 164
_space_group_name_Hall '-P 3 2"'
loop_
_atom_site_label
_atom_site_fract_x
_atom_site_fract_y
_atom_site_fract_z
La1 0.0000 0.0000 0.0000
Dy1 0.0000 0.0000 0.5000
Mg1 0.3333 0.6667 0.7336
Hg1 0.3333 0.6667 0.2618
# Energy relative to the elements: -352 meV/atom

9.
# Sr2WSe (PBE, relaxed)
data_Sr2WSe
_chemical_formula_sum 'Sr4 W2 Se2'
_cell_length_a 4.523
_cell_length_b 4.523
_cell_length_c 11.737
_cell_angle_alpha 90.00
_cell_angle_beta 90.00
_cell_angle_gamma 90.00
_space_group_name_H-M_alt 'I -4 m 2'
_space_group_IT_number 119
_space_group_name_Hall 'I -4 -2'
loop_
_atom_site_label
_atom_site_fract_x
_atom_site_fract_y
_atom_site_fract_z
Sr1 0.000 0.000 0.000
Sr2 0.000 0.500 0.250
W1 0.000 0.500 0.750
Se1 0.000 0.000 0.500
# Raw formation energy: 0.45 eV per atom

10.
# Pm6Sc (PBE, relaxed)
data_Pm6Sc
_chemical_formula_sum 'Pm12 Sc2'
_cell_length_a 6.484
_cell_length_b 6.484
_cell_length_c 11.355
_cell_angle_alpha 90.00
_cell_angle_beta 90.00
_cell_angle_gamma 90.00
_space_group_name_H-M_alt 'P 4/n b m'
_space_group_IT_number 125
loop_
_space_group_symop_operation_xyz
'x,y,z'
'-x,-y,-z'
'-y+1/2,x,z'
'y+1/2,-x,-z'
'-x+1/2,-y+1/2,z'
'x+1/2,y+1/2,-z'
'y,-x+1/2,z'
'-y,x+1/2,-z'
'x,-y+1/2,-z'
'-x,y+1/2,z'
'-y+1/2,-x+1/2,-z'
'y+1/2,x+1/2,z'
'-x+1/2,y,-z'
'x+1/2,-y,z'
'y,x,-z'
'-y,-x,z'
loop_
_atom_site_label
_atom_site_fract_x
_atom_site_fract_y
_atom_site_fract_z
Pm1 0.081 0.581 0.139
Pm2 0.250 0.250 0.366
Sc1 0.250 0.750 0.500
# Energy relative to the elements: 293 meV/atom

11.
# AlCdSe (PBE, relaxed)
data_AlCdSe
_chemical_formula_sum 'Al4 Cd4 Se4'
_cell_length_a 6.772
_cell_length_b 6.772
_cell_length_c 6.772
_cell_angle_alpha 90.00
_cell_angle_beta 90.00
_cell_angle_gamma 90.00
_space_group_name_H-M_alt 'F -4 3 m'
_space_group_IT_number 216
_space_group_name_Hall 'F -4 2 3'
loop_
_atom_site_label
_atom_site_fract_x
_atom_site_fract_y
_atom_site_fract_z
Al1 0.000 0.000 0.000
Cd1 0.250 0.250 0.750
Se1 0.000 0.000 0.500
# Raw formation energy: 0.17 eV per atom

12.
# Hg2AuCl (PBE, relaxed)
data_Hg2AuCl
_chemical_formula_sum 'Hg4 Au2 Cl2'
_cell_length_a 8.176
_cell_length_b 7.712
_cell_length_c 3.109
_cell_angle_alpha 90.00
_cell_angle_beta 107.33
_cell_angle_gamma 90.00
_space_group_name_H-M_alt 'C 1 2/m 1'
_space_group_IT_number 12
loop_
_space_group_symop_operation_xyz
'x,y,z'
'-x,-y,-z'
'-x,y,-z'
'x,-y,z'
'x+1/2,y+1/2,z'
'-x+1/2,-y+1/2,-z'
'-x+1/2,y+1/2,-z'
'x+1/2,-y+1/2,z'
loop_
_atom_site_label
_atom_site_fract_x
_atom_site_fract_y
_atom_site_fract_z
Hg1 0.250 0.250 0.000
Au1 0.000 0.000 0.500
Cl1 0.000 0.500 0.500
# Raw formation energy: 0.00 eV per atom